Li5Ti7InP12O48 | GGA-PBEsol | relaxed

Cell and atoms, written as CIF:
```
data_Li5Ti7InP12O48
_chemical_formula_sum 'Li5 Ti7 In1 P12 O48'
_symmetry_space_group_name_H-M 'P 1'
_symmetry_Int_Tables_number 1
_symmetry_space_group_name_Hall 'P 1'
_cell_length_a 8.527
_cell_length_b 8.531
_cell_length_c 14.865
_cell_angle_alpha 90.32
_cell_angle_beta 106.58
_cell_angle_gamma 119.39
loop_
_atom_site_label
_atom_site_type_symbol
_atom_site_fract_x
_atom_site_fract_y
_atom_site_fract_z
Li1 Li 0.000 0.000 0.000
Li2 Li 0.012 0.512 0.513
Li3 Li 0.458 0.724 0.230
Li4 Li 0.510 0.246 0.763
Li5 Li 0.736 0.064 0.430
Ti1 Ti 0.135 0.775 0.936
Ti2 Ti 0.340 0.948 0.326
Ti3 Ti 0.349 0.447 0.821
Ti4 Ti 0.625 0.517 0.176
Ti5 Ti 0.635 0.025 0.690
Ti6 Ti 0.848 0.191 0.073
Ti7 Ti 0.848 0.698 0.578
In1 In 0.129 0.273 0.430
P1 P 0.024 0.150 0.630
P2 P 0.032 0.645 0.131
P3 P 0.236 0.257 0.228
P4 P 0.242 0.761 0.736
P5 P 0.448 0.718 0.490
P6 P 0.450 0.215 0.978
P7 P 0.535 0.756 0.020
P8 P 0.544 0.256 0.527
P9 P 0.724 0.201 0.265
P10 P 0.743 0.718 0.779
P11 P 0.933 0.813 0.380
P12 P 0.955 0.323 0.881
O1 O 0.000 0.242 0.542
O2 O 0.001 0.516 0.912
O3 O 0.064 0.759 0.051
O4 O 0.070 0.160 0.132
O5 O 0.079 0.683 0.640
O6 O 0.116 0.335 0.848
O7 O 0.119 0.861 0.358
O8 O 0.178 0.794 0.817
O9 O 0.180 0.317 0.303
O10 O 0.217 0.742 0.219
O11 O 0.225 0.263 0.704
O12 O 0.253 0.555 0.482
O13 O 0.262 0.043 0.975
O14 O 0.302 0.119 0.260
O15 O 0.302 0.618 0.756
O16 O 0.373 0.797 0.000
O17 O 0.374 0.279 0.506
O18 O 0.396 0.432 0.210
O19 O 0.407 0.946 0.730
O20 O 0.428 0.275 0.880
O21 O 0.445 0.799 0.397
O22 O 0.488 0.611 0.939
O23 O 0.491 0.364 0.054
O24 O 0.503 0.861 0.574
O25 O 0.522 0.123 0.445
O26 O 0.553 0.693 0.117
O27 O 0.564 0.017 0.279
O28 O 0.567 0.188 0.623
O29 O 0.579 0.530 0.784
O30 O 0.608 0.673 0.509
O31 O 0.619 0.182 0.003
O32 O 0.653 0.331 0.232
O33 O 0.679 0.858 0.763
O34 O 0.724 0.928 0.025
O35 O 0.733 0.436 0.538
O36 O 0.754 0.689 0.294
O37 O 0.760 0.226 0.801
O38 O 0.790 0.154 0.188
O39 O 0.804 0.688 0.696
O40 O 0.864 0.634 0.155
O41 O 0.872 0.128 0.672
O42 O 0.877 0.289 0.364
O43 O 0.907 0.793 0.875
O44 O 0.928 0.986 0.400
O45 O 0.932 0.709 0.464
O46 O 0.944 0.214 0.963
O47 O 0.989 0.959 0.600
O48 O 0.993 0.452 0.104
```

Calculated values
Total moment in μB per atom: 0.000
Crystal system: triclinic
E_tot in eV per atom: -7.894